(1)
# Ce2TeC | Alexandria via LeMat-Bulk | GGA-PBE | optimized geometry
# * DFT total energy: -106.8 eV for the cell shown
# * E_form (uncorrected): -0.617 eV per atom
data_Ce2TeC
_space_group_name_H-M_alt 'P 1 2/c 1'
_space_group_IT_number 13
_cell_length_a 6.2447
_cell_length_b 6.2560
_cell_length_c 12.2974
_cell_angle_alpha 90.00
_cell_angle_beta 116.31
_cell_angle_gamma 90.00
loop_
_space_group_symop_operation_xyz
'x,y,z'
'-x,-y,-z'
'-x,y,-z+1/2'
'x,-y,z+1/2'
loop_
_atom_site_label
_atom_site_type_symbol
_atom_site_fract_x
_atom_site_fract_y
_atom_site_fract_z
Ce1 Ce 0.0707 0.2314 0.0846
Ce2 Ce 0.2989 0.2047 0.8350
Te1 Te 0.3888 0.2891 0.3743
C1 C 0.0320 0.1371 0.6228


(2)
# Ce5Te2C | Alexandria via LeMat-Bulk | GGA-PBE | optimized geometry
# * DFT total energy: -195.7 eV for the cell shown
# * E_form (uncorrected): -0.467 eV per atom
data_Ce5Te2C
_space_group_name_H-M_alt 'C m c m'
_space_group_IT_number 63
_space_group_name_Hall '-C 2c 2'
_cell_length_a 5.8018
_cell_length_b 11.6421
_cell_length_c 13.9647
_cell_angle_alpha 90.00
_cell_angle_beta 90.00
_cell_angle_gamma 90.00
loop_
_atom_site_label
_atom_site_type_symbol
_atom_site_fract_x
_atom_site_fract_y
_atom_site_fract_z
Ce1 Ce 0.0000 0.0652 0.1543
Ce2 Ce 0.0000 0.2843 0.7500
Ce3 Ce 0.0000 0.3814 0.1239
Te1 Te 0.0000 0.1790 0.5479
C1 C 0.0000 0.2434 0.2500


(3)
# Ce5Te5C | Alexandria via LeMat-Bulk | GGA-PBE | optimized geometry
# * DFT total energy: -132.0 eV for the cell shown
# * E_form (uncorrected): -1.038 eV per atom
data_Ce5Te5C
_space_group_name_H-M_alt 'C 1 2/m 1'
_space_group_IT_number 12
_cell_length_a 13.7509
_cell_length_b 6.1897
_cell_length_c 8.6304
_cell_angle_alpha 90.00
_cell_angle_beta 109.52
_cell_angle_gamma 90.00
loop_
_space_group_symop_operation_xyz
'x,y,z'
'-x,-y,-z'
'-x,y,-z'
'x,-y,z'
'x+1/2,y+1/2,z'
'-x+1/2,-y+1/2,-z'
'-x+1/2,y+1/2,-z'
'x+1/2,-y+1/2,z'
loop_
_atom_site_label
_atom_site_type_symbol
_atom_site_fract_x
_atom_site_fract_y
_atom_site_fract_z
Ce1 Ce 0.0000 0.0000 0.0000
Ce2 Ce 0.1427 0.5000 0.2858
Ce3 Ce 0.1454 0.5000 0.8610
Te1 Te 0.0000 0.5000 0.5000
Te2 Te 0.1556 0.0000 0.8097
Te3 Te 0.1834 0.0000 0.3360
C1 C 0.0000 0.5000 0.0000


(4)
# Ce2TeC | Alexandria via LeMat-Bulk | GGA-PBE | optimized geometry
# * DFT total energy: -81.5 eV for the cell shown
# * E_form (uncorrected): -0.734 eV per atom
data_Ce2TeC
_space_group_name_H-M_alt 'R -3 m'
_space_group_IT_number 166
_space_group_name_Hall '-R 3 2"'
_cell_length_a 3.9033
_cell_length_b 3.9033
_cell_length_c 21.5907
_cell_angle_alpha 90.00
_cell_angle_beta 90.00
_cell_angle_gamma 120.00
loop_
_atom_site_label
_atom_site_type_symbol
_atom_site_fract_x
_atom_site_fract_y
_atom_site_fract_z
Ce1 Ce 0.0000 0.0000 0.2294
Te1 Te 0.0000 0.0000 0.0000
C1 C 0.0000 0.0000 0.5000


> Which formula does entry 3 have?

Ce5Te5C


> What is the E_form (uncorrected) in the second record?

-0.467 eV per atom